1.
This record from Alexandria describes MgTcSb2 after structural relaxation. The functional is PBE-GGA.

Summary:
Space-group type ... F-43m
Formation energy (no corrections) ... 46 kJ/mol of atoms

Cell: 4.8842 4.8842 4.8842 Å, 60.00 60.00 60.00°
Fractional positions:
Tc 0.2500 0.2500 0.2500
Mg 0.5000 0.5000 0.5000
Sb 0.7500 0.7500 0.7500
Sb 0.0000 0.0000 0.0000

---

2.
This record from Alexandria describes Ta2CuW after structural relaxation. The functional is PBE-GGA.

Summary:
Space-group type ... Cmmm
Formation energy from the elements ... 0.0475 eV per atom

Cell: 2.7633 2.7633 8.8922 Å, 90.00 90.00 106.31°
Fractional positions:
Cu 0.5000 0.5000 0.7500
Ta 0.0000 0.0000 0.5090
Ta 0.0000 0.0000 0.9910
W 0.5000 0.5000 0.2500

---

3.
This record from Alexandria describes Sm2GdTc after structural relaxation. The functional is PBE-GGA.

Summary:
Space-group type ... R-3m
Formation energy from the elements ... 0.2321 eV per atom

Cell: 4.8898 4.8898 5.7896 Å, 65.02 65.02 60.00°
Last column: magnetic moment on the atom in μB.
Fractional positions:
Sm 0.2689 0.2689 0.1933  0.04
Sm 0.7311 0.7311 0.8067  0.04
Gd 0.5000 0.5000 0.5000  7.12
Tc 0.0000 0.0000 0.0000  -0.15

---

4.
This record from Alexandria describes NaV2As2 after structural relaxation. The functional is PBE-GGA.

Summary:
Space-group type ... I4/mmm
Formation energy from the elements ... -0.3618 eV per atom

Cell: 3.8880 3.8880 6.5079 Å, 72.62 72.62 90.00°
Fractional positions:
Na 0.0000 0.0000 0.0000
As 0.6178 0.6178 0.7645
As 0.3822 0.3822 0.2355
V 0.7500 0.2500 0.5000
V 0.2500 0.7500 0.5000

---

Number 1: ρ 7.37 g/cm³, total energy -18.3 eV/f.u.. Number 2: ρ 15.53 g/cm³, total energy -40.6 eV/f.u.. Number 3: ρ 8.82 g/cm³, total energy -33.0 eV/f.u.. Number 4: ρ 5.12 g/cm³, total energy -30.7 eV/f.u..